1.
Nd2Cu3Ru: relaxed, PBE.

Cell lengths 10.2501, 4.2821, 7.2108 Å; angles 90.00, 132.26, 90.00 degrees
Last column: nearest neighbours and their distance in Å.
Space group Cm (No. 8)
Asymmetric unit:
Nd  0.0000  0.0000  0.0000 (multiplicity 2)  3 Ru 2.95-3.10, 9 Cu 3.00-3.26
Nd  0.0857  0.0000  0.5862 (multiplicity 2)  9 Cu 3.00-3.20, 2 Ru 3.10
Cu  0.2038  0.5000  0.3930 (multiplicity 2)  3 Cu 2.49-2.60
Cu  0.3709  0.0000  0.5636 (multiplicity 2)  2 Cu 2.49, 1 Ru 2.52
Cu  0.3749  0.0000  0.1778 (multiplicity 2)  2 Ru 2.58, 2 Cu 2.60-2.81
Ru  0.1862  0.5000  0.9750 (multiplicity 2)  3 Cu 2.52-2.58

Calculated values
DOS(E_F): 3.2 states/eV/f.u.
V: 19.52 Å³/atom
DFT total energy: -5.3302 eV/atom
Size of the total moment: 0.00 μB/atom
ΔE_f: -0.147 eV per atom



2.
Pm2Ga7Ni: relaxed, PBE.

Cell lengths 4.2171, 4.2171, 10.7021 Å; angles 90.00, 90.00, 90.00 degrees
Last column: nearest neighbours and their distance in Å.
Space group P-4m2 (No. 115)
Asymmetric unit:
Pm  0.0000  0.5000  0.2421 (multiplicity 2)  14 Ga 3.22-3.47, 2 Ni 3.34
Ga  0.0000  0.0000  0.0000 (multiplicity 1)  4 Ga 2.49
Ga  0.0000  0.0000  0.5000 (multiplicity 1)  4 Ga 2.61
Ga  0.0000  0.5000  0.6441 (multiplicity 2)  5 Ga 2.48-2.61
Ga  0.0000  0.5000  0.8762 (multiplicity 2)  3 Ga 2.48-2.49, 2 Ni 2.49
Ga  0.5000  0.5000  0.5000 (multiplicity 1)  4 Ga 2.61
Ni  0.5000  0.5000  0.0000 (multiplicity 1)  4 Ga 2.49

Calculated values
DOS(E_F): 2.8 states/eV/f.u.
V: 19.03 Å³/atom
DFT total energy: -4.1372 eV/atom
Size of the total moment: 0.00 μB/atom
ΔE_f: -0.490 eV per atom



3.
UVCo2: relaxed, PBE.

Cell lengths 2.8502, 2.8502, 24.6330 Å; angles 90.00, 90.00, 120.00 degrees
Last column: nearest neighbours and their distance in Å.
Space group R-3m (No. 166, hexagonal axes)
Asymmetric unit:
U  0.0000  0.0000  0.0000 (multiplicity 3)  2 Co 2.31
V  0.0000  0.0000  0.5000 (multiplicity 3)  6 Co 2.44
Co  0.0000  0.0000  0.0938 (multiplicity 6)  1 U 2.31, 3 V 2.44

Calculated values
DOS(E_F): 7.2 states/eV/f.u.
V: 14.44 Å³/atom
DFT total energy: -8.3302 eV/atom
Size of the total moment: 0.00 μB/atom
Relative energy among the computed polymorphs: 136 kJ/mol of formula units
ΔE_f: 0.324 eV per atom



4.
KCoPb2Cl8: relaxed, PBE.

Cell lengths 6.2852, 6.4621, 8.5424 Å; angles 90.07, 90.28, 91.83 degrees
Last column: nearest neighbours and their distance in Å.
Space group P-1 (No. 2)
Asymmetric unit:
K  0.0000  0.0000  0.0000 (multiplicity 1)  6 Cl 3.00-3.09
Co  0.0000  0.0000  0.5000 (multiplicity 1)  6 Cl 2.28-2.30
Pb  0.4986  0.5000  0.7345 (multiplicity 2)  6 Cl 2.82-3.09
Cl  0.2017  0.7094  0.4990 (multiplicity 2)  1 Co 2.30
Cl  0.2146  0.1404  0.3103 (multiplicity 2)  1 Co 2.28
Cl  0.2162  0.1381  0.6914 (multiplicity 2)  1 Co 2.28
Cl  0.2711  0.6255  0.9997 (multiplicity 2)  2 Pb 2.82, 1 K 3.00

Calculated values
V: 28.90 Å³/atom
DFT total energy: -3.5539 eV/atom
Size of the total moment: 0.01 μB/atom



5.
RbN3Cl: relaxed, PBE.

Cell lengths 6.6377, 6.6252, 9.0563 Å; angles 90.00, 106.77, 90.00 degrees
Last column: nearest neighbours and their distance in Å.
Space group Cm (No. 8)
Asymmetric unit:
Rb  0.0000  0.0000  0.0000 (multiplicity 2)  4 Cl 3.31-3.33, 5 N 3.39-3.50
N  0.1514  0.2471  0.7073 (multiplicity 4)  4 N 3.27-3.35, 2 Cl 3.34-3.45, 2 Rb 3.41-3.50
N  0.4365  0.0000  0.3083 (multiplicity 2)  1 Cl 3.02
Cl  0.4976  0.0000  0.9905 (multiplicity 2)  3 N 3.02-3.34, 4 Rb 3.31-3.33

Calculated values
V: 38.13 Å³/atom
DFT total energy: -3.1747 eV/atom
Size of the total moment: 1.80 μB/atom



6.
Na4TbU3N8: relaxed, PBE.

Cell lengths 7.0026, 7.0026, 17.0236 Å; angles 90.00, 90.00, 120.00 degrees
Last column: nearest neighbours and their distance in Å.
Space group R-3m (No. 166, hexagonal axes)
Asymmetric unit:
Na  0.0000  0.0000  0.0000 (multiplicity 3)  6 N 2.60
Na  0.0000  0.5000  0.0000 (multiplicity 9)  6 N 2.69-2.77
Tb  0.0000  0.0000  0.5000 (multiplicity 3)  6 N 2.41
U  0.0000  0.5000  0.5000 (multiplicity 9)  6 N 2.21-2.28
N  0.0000  0.0000  0.2287 (multiplicity 6)  3 U 2.28
N  0.0249  0.5124  0.7727 (multiplicity 18)  2 U 2.21, 1 Tb 2.41

Calculated values
DOS(E_F): 4.5 states/eV/f.u.
V: 15.06 Å³/atom
DFT total energy: -7.9701 eV/atom
Size of the total moment: 0.07 μB/atom



- What is the size of the total moment in the first record?
  0.00 μB/atom